A plane-wave DFT calculation with PBE was carried out for an optimized crystal structure of AlGa2Rh2.

a b c (Å): 7.1469 7.1469 2.9042
angles (deg): 90.00 90.00 90.00
Space group P4/mbm (No. 127)
One atom of each set of equivalent atoms:
1 Al 0.0000 0.0000 0.0000 x2
2 Ga 0.1301 0.3699 0.0000 x4
3 Rh 0.1686 0.6686 0.5000 x4

Calculated values
* total moment: 0.00 μB/atom
* energy relative to the lowest polymorph listed for this composition: 91 meV per atom
* total DFT energy (no corrections): -5.40 eV/atom
* formation enthalpy at 0 K: -0.499 eV/atom